No. 1
A plane-wave DFT calculation with PBE was carried out for a geometry-optimized CaTbSi4 structure.

a = 5.872 Å, b = 5.872 Å, c = 3.907 Å
α = 109.33°, β = 109.33°, γ = 78.66°
Fractional positions:
Ca  0.000  0.000  0.000
Tb  0.500  0.500  0.500
Si  0.089  0.413  0.751
Si  0.413  0.089  0.751
Si  0.587  0.911  0.249
Si  0.911  0.587  0.249

Properties
For the distance to the lowest polymorph of the same formula, the calculation gives 0.00 kJ per mole of atoms. As for the crystal system: monoclinic. For the raw formation energy, the calculation gives -0.429 eV per atom. As for the space group: C2/m.


No. 2
A plane-wave DFT calculation with PBE was carried out for a geometry-optimized V7S8 structure.

a = 6.367 Å, b = 6.367 Å, c = 6.036 Å
α = 90.00°, β = 90.00°, γ = 120.00°
Fractional positions:
V  0.000  0.000  0.000
V  0.000  0.500  0.000
V  0.000  0.500  0.500
V  0.500  0.000  0.000
V  0.500  0.000  0.500
V  0.500  0.500  0.000
V  0.500  0.500  0.500
S  0.164  0.328  0.747
S  0.164  0.836  0.747
S  0.328  0.164  0.253
S  0.333  0.667  0.250
S  0.667  0.333  0.750
S  0.672  0.836  0.747
S  0.836  0.164  0.253
S  0.836  0.672  0.253

Properties
For the distance to the lowest polymorph of the same formula, the calculation gives 2.58 kJ per mole of atoms. As for the crystal system: trigonal. For the raw formation energy, the calculation gives -0.902 eV per atom. As for the space group: P-3m1.


No. 3
A plane-wave DFT calculation with PBE was carried out for a geometry-optimized LiRu2 structure.

a = 4.166 Å, b = 4.166 Å, c = 2.449 Å
α = 90.00°, β = 90.00°, γ = 90.00°
Fractional positions:
Li  0.000  0.000  0.000
Ru  0.000  0.500  0.500
Ru  0.500  0.000  0.500

Properties
As for the crystal system: tetragonal. As for the space group: P4/mmm. As for the formation energy: 3.0 eV per formula unit.


No. 4
A plane-wave DFT calculation with PBE was carried out for a geometry-optimized Li5H12Ru2 structure.

a = 5.796 Å, b = 5.796 Å, c = 4.938 Å
α = 97.19°, β = 97.19°, γ = 61.76°
Fractional positions:
Li  0.000  0.000  0.000
Li  0.242  0.242  0.456
Li  0.369  0.369  0.007
Li  0.631  0.631  0.993
Li  0.758  0.758  0.544
H  0.074  0.074  0.641
H  0.113  0.591  0.268
H  0.120  0.665  0.744
H  0.335  0.880  0.256
H  0.409  0.887  0.732
H  0.459  0.459  0.661
H  0.541  0.541  0.339
H  0.591  0.113  0.268
H  0.665  0.120  0.744
H  0.880  0.335  0.256
H  0.887  0.409  0.732
H  0.926  0.926  0.359
Ru  0.251  0.749  0.500
Ru  0.749  0.251  0.500

Properties
As for the crystal system: monoclinic. As for the space group: C2/m. The calculation puts the raw total energy at -3.825 eV/atom.


No. 5
A plane-wave DFT calculation with PBE was carried out for a geometry-optimized ReIrIN2 structure.

a = 3.786 Å, b = 3.786 Å, c = 7.855 Å
α = 90.00°, β = 90.00°, γ = 90.00°
Fractional positions:
Re  0.000  0.000  0.000
Ir  0.500  0.500  0.500
I  0.500  0.500  0.000
N  0.000  0.500  0.500
N  0.500  0.000  0.500

Properties
For the distance to the lowest polymorph of the same formula, the calculation gives 57.41 kJ per mole of atoms. As for the crystal system: tetragonal. For the raw formation energy, the calculation gives 1.740 eV per atom. As for the space group: P4/mmm.


No. 6
A plane-wave DFT calculation with PBE was carried out for a geometry-optimized ReB2F structure.

a = 3.864 Å, b = 3.864 Å, c = 3.864 Å
α = 60.00°, β = 60.00°, γ = 60.00°
Fractional positions:
Re  0.000  0.000  0.000
B  0.250  0.250  0.250
B  0.750  0.750  0.750
F  0.500  0.500  0.500

Properties
For the distance to the lowest polymorph of the same formula, the calculation gives 53.95 kJ per mole of atoms. As for the crystal system: cubic. For the raw formation energy, the calculation gives 1.199 eV per atom. As for the space group: Fm-3m.


No. 7
A plane-wave DFT calculation with PBE was carried out for a geometry-optimized MnNiAsPd structure.

a = 4.320 Å, b = 4.320 Å, c = 4.320 Å
α = 60.00°, β = 60.00°, γ = 60.00°
Fractional positions:
Mn  0.000  0.000  0.000
Ni  0.750  0.750  0.750
As  0.500  0.500  0.500
Pd  0.250  0.250  0.250

Properties
As for the crystal system: cubic. As for the space group: F-43m. As for the formation energy: -0.5 eV per formula unit.